(1)
Below is PrScTlAg after structural relaxation, with properties calculated at the PBE-GGA level.

Output
volume	409	Å³ per cell
E_form	-0.27	eV/atom
size of the total moment	0.39	μB/f.u.

The structure in CIF format:
```
data_PrScTlAg
_symmetry_space_group_name_H-M 'F -4 3 m'
_symmetry_Int_Tables_number 216
_symmetry_space_group_name_Hall 'F -4 2 3'
_cell_length_a 7.422
_cell_length_b 7.422
_cell_length_c 7.422
_cell_angle_alpha 90.00
_cell_angle_beta 90.00
_cell_angle_gamma 90.00
loop_
_atom_site_label
_atom_site_fract_x
_atom_site_fract_y
_atom_site_fract_z
Pr1 0.000 0.000 0.000
Sc1 0.000 0.000 0.500
Tl1 0.250 0.250 0.750
Ag1 0.250 0.250 0.250
```



(2)
Below is PrSc2Tl2Ag2 after structural relaxation, with properties calculated at the PBE-GGA level.

Output
volume	510	Å³ per cell
E_form	-0.21	eV/atom
size of the total moment	0.04	μB/f.u.

The structure in CIF format:
```
data_PrSc2Tl2Ag2
_symmetry_space_group_name_H-M 'R -3 m'
_symmetry_Int_Tables_number 166
_symmetry_space_group_name_Hall '-R 3 2"'
_cell_length_a 4.7963
_cell_length_b 4.7963
_cell_length_c 25.6197
_cell_angle_alpha 90.00
_cell_angle_beta 90.00
_cell_angle_gamma 120.00
loop_
_atom_site_label
_atom_site_fract_x
_atom_site_fract_y
_atom_site_fract_z
Pr1 0.0000 0.0000 0.0000
Sc1 0.0000 0.0000 0.1364
Tl1 0.0000 0.0000 0.2601
Ag1 0.0000 0.0000 0.4424
```